[1]
The following is a PBEsol calculation of a geometry-optimized CsHSeO3 structure, from Alexandria.

```
data_CsHSeO3
_chemical_formula_sum 'Cs4 H4 Se4 O12'
_symmetry_space_group_name_H-M 'P 1'
_symmetry_Int_Tables_number 1
_cell_length_a 5.9498
_cell_length_b 13.4323
_cell_length_c 5.9195
_cell_angle_alpha 90.00
_cell_angle_beta 90.00
_cell_angle_gamma 90.00
loop_
_symmetry_equiv_pos_as_xyz
'x,y,z'
loop_
_atom_site_label
_atom_site_type_symbol
_atom_site_fract_x
_atom_site_fract_y
_atom_site_fract_z
Cs1 Cs 0.0778 0.1309 0.0000
Cs2 Cs 0.4222 0.6309 0.5000
Cs3 Cs 0.5778 0.3691 0.0000
Cs4 Cs 0.9222 0.8691 0.5000
H1 H 0.0236 0.8441 0.9953
H2 H 0.4764 0.3441 0.4953
H3 H 0.5236 0.6559 0.9953
H4 H 0.9764 0.1559 0.4953
Se1 Se 0.0835 0.3477 0.5490
Se2 Se 0.4165 0.8477 0.0490
Se3 Se 0.5835 0.1523 0.5490
Se4 Se 0.9165 0.6523 0.0490
O1 O 0.0692 0.3490 0.8318
O2 O 0.1426 0.9031 0.9978
O3 O 0.1591 0.2276 0.4812
O4 O 0.3409 0.7276 0.9812
O5 O 0.3574 0.4031 0.4978
O6 O 0.4308 0.8490 0.3318
O7 O 0.5692 0.1510 0.8318
O8 O 0.6426 0.5969 0.9978
O9 O 0.6591 0.2724 0.4812
O10 O 0.8409 0.7724 0.9812
O11 O 0.8574 0.0969 0.4978
O12 O 0.9308 0.6510 0.3318
```

## Properties
As for the final energy: -124.77 eV/cell.

[2]
The following is a PBEsol calculation of a geometry-optimized Cs3HSe2O8 structure, from Alexandria.

```
data_Cs3HSe2O8
_chemical_formula_sum 'Cs6 H2 Se4 O16'
_symmetry_space_group_name_H-M 'P 1'
_symmetry_Int_Tables_number 1
_cell_length_a 8.6283
_cell_length_b 8.6283
_cell_length_c 10.8665
_cell_angle_alpha 101.97
_cell_angle_beta 101.97
_cell_angle_gamma 43.47
loop_
_symmetry_equiv_pos_as_xyz
'x,y,z'
loop_
_atom_site_label
_atom_site_type_symbol
_atom_site_fract_x
_atom_site_fract_y
_atom_site_fract_z
Cs1 Cs 0.0882 0.5319 0.3480
Cs2 Cs 0.2489 0.7511 0.7500
Cs3 Cs 0.4681 0.9118 0.1520
Cs4 Cs 0.5319 0.0882 0.8480
Cs5 Cs 0.7511 0.2489 0.2500
Cs6 Cs 0.9118 0.4681 0.6520
H1 H 0.0000 0.0000 0.0000
H2 H 0.0000 0.0000 0.5000
Se1 Se 0.0994 0.6678 0.0347
Se2 Se 0.3322 0.9006 0.4653
Se3 Se 0.6678 0.0994 0.5347
Se4 Se 0.9006 0.3322 0.9653
O1 O 0.0747 0.6138 0.8802
O2 O 0.1421 0.1714 0.9018
O3 O 0.1555 0.8275 0.0532
O4 O 0.1714 0.1421 0.4018
O5 O 0.1725 0.8445 0.4468
O6 O 0.3138 0.4366 0.1074
O7 O 0.3862 0.9253 0.6198
O8 O 0.4366 0.3138 0.6074
O9 O 0.5634 0.6862 0.3926
O10 O 0.6138 0.0747 0.3802
O11 O 0.6862 0.5634 0.8926
O12 O 0.8275 0.1555 0.5532
O13 O 0.8286 0.8579 0.5982
O14 O 0.8445 0.1725 0.9468
O15 O 0.8579 0.8286 0.0982
O16 O 0.9253 0.3862 0.1198
```

## Properties
As for the final energy: -147.72 eV/cell.

[3]
The following is a PBEsol calculation of a geometry-optimized Cs3HSe2O8 structure, from Alexandria.

```
data_Cs3HSe2O8
_chemical_formula_sum 'Cs6 H2 Se4 O16'
_symmetry_space_group_name_H-M 'P 1'
_symmetry_Int_Tables_number 1
_cell_length_a 8.4625
_cell_length_b 6.3101
_cell_length_c 10.9020
_cell_angle_alpha 90.00
_cell_angle_beta 112.73
_cell_angle_gamma 90.00
loop_
_symmetry_equiv_pos_as_xyz
'x,y,z'
loop_
_atom_site_label
_atom_site_type_symbol
_atom_site_fract_x
_atom_site_fract_y
_atom_site_fract_z
Cs1 Cs 0.0009 0.2500 0.2450
Cs2 Cs 0.3870 0.2500 0.0515
Cs3 Cs 0.3923 0.7500 0.5526
Cs4 Cs 0.6077 0.2500 0.4474
Cs5 Cs 0.6130 0.7500 0.9485
Cs6 Cs 0.9991 0.7500 0.7550
H1 H 0.9995 0.2500 0.7371
H2 H 0.0005 0.7500 0.2629
Se1 Se 0.2354 0.7500 0.1791
Se2 Se 0.2370 0.2500 0.6784
Se3 Se 0.7630 0.7500 0.3216
Se4 Se 0.7646 0.2500 0.8209
O1 O 0.0167 0.2500 0.6400
O2 O 0.0205 0.7500 0.1457
O3 O 0.2593 0.2500 0.5350
O4 O 0.2638 0.7500 0.0376
O5 O 0.3101 0.0321 0.7664
O6 O 0.3101 0.4679 0.7664
O7 O 0.3139 0.5327 0.2682
O8 O 0.3139 0.9673 0.2682
O9 O 0.6861 0.0327 0.7318
O10 O 0.6861 0.4673 0.7318
O11 O 0.6899 0.5321 0.2336
O12 O 0.6899 0.9679 0.2336
O13 O 0.7362 0.2500 0.9624
O14 O 0.7407 0.7500 0.4650
O15 O 0.9795 0.2500 0.8543
O16 O 0.9833 0.7500 0.3600
```

## Properties
As for the final energy: -147.70 eV/cell.

[4]
The following is a PBEsol calculation of a geometry-optimized Cs3HSe2O8 structure, from Alexandria.

```
data_Cs3HSe2O8
_chemical_formula_sum 'Cs3 H1 Se2 O8'
_symmetry_space_group_name_H-M 'P 1'
_symmetry_Int_Tables_number 1
_cell_length_a 6.2954
_cell_length_b 6.2954
_cell_length_c 8.4343
_cell_angle_alpha 109.34
_cell_angle_beta 109.34
_cell_angle_gamma 60.20
loop_
_symmetry_equiv_pos_as_xyz
'x,y,z'
loop_
_atom_site_label
_atom_site_type_symbol
_atom_site_fract_x
_atom_site_fract_y
_atom_site_fract_z
Cs1 Cs 0.0000 0.0000 0.0000
Cs2 Cs 0.1982 0.1982 0.6100
Cs3 Cs 0.8018 0.8018 0.3900
H1 H 0.5000 0.5000 0.0000
Se1 Se 0.4285 0.4285 0.2364
Se2 Se 0.5715 0.5715 0.7636
O1 O 0.2657 0.7007 0.6874
O2 O 0.2855 0.2855 0.2611
O3 O 0.2993 0.7343 0.3126
O4 O 0.3942 0.3942 0.0188
O5 O 0.6058 0.6058 0.9812
O6 O 0.7007 0.2657 0.6874
O7 O 0.7145 0.7145 0.7389
O8 O 0.7343 0.2993 0.3126
```

## Properties
As for the final energy: -73.85 eV/cell.

[5]
The following is a PBEsol calculation of a geometry-optimized CsH3Se2O6 structure, from Alexandria.

```
data_CsH3Se2O6
_chemical_formula_sum 'Cs2 H6 Se4 O12'
_symmetry_space_group_name_H-M 'P 1'
_symmetry_Int_Tables_number 1
_cell_length_a 5.7521
_cell_length_b 6.4359
_cell_length_c 9.2762
_cell_angle_alpha 92.13
_cell_angle_beta 105.64
_cell_angle_gamma 91.55
loop_
_symmetry_equiv_pos_as_xyz
'x,y,z'
loop_
_atom_site_label
_atom_site_type_symbol
_atom_site_fract_x
_atom_site_fract_y
_atom_site_fract_z
Cs1 Cs 0.0000 0.0000 0.0000
Cs2 Cs 0.2315 0.5259 0.3200
H1 H 0.3257 0.0579 0.4088
H2 H 0.5875 0.7732 0.6648
H3 H 0.5962 0.2728 0.1427
H4 H 0.6284 0.2844 0.6494
H5 H 0.6414 0.7692 0.1855
H6 H 0.9132 0.4707 0.9165
Se1 Se 0.3030 0.0277 0.6954
Se2 Se 0.5181 0.5123 0.9427
Se3 Se 0.7214 0.0336 0.3805
Se4 Se 0.9429 0.5249 0.6345
O1 O 0.0472 0.4222 0.8061
O2 O 0.1932 0.1097 0.5181
O3 O 0.3978 0.0255 0.3167
O4 O 0.3987 0.7745 0.6584
O5 O 0.4449 0.3231 0.0574
O6 O 0.4825 0.7345 0.0364
O7 O 0.5735 0.1615 0.7581
O8 O 0.6674 0.3764 0.5628
O9 O 0.7591 0.7895 0.2967
O10 O 0.7851 0.1991 0.2584
O11 O 0.8392 0.7601 0.6731
O12 O 0.8409 0.5035 0.0084
```

## Properties
As for the final energy: -126.08 eV/cell.

[6]
The following is a PBEsol calculation of a geometry-optimized Cs2ZnH12Se2O14 structure, from Alexandria.

```
data_Cs2ZnH12Se2O14
_chemical_formula_sum 'Cs4 Zn2 H24 Se4 O28'
_symmetry_space_group_name_H-M 'P 1'
_symmetry_Int_Tables_number 1
_cell_length_a 6.4626
_cell_length_b 12.8469
_cell_length_c 9.3554
_cell_angle_alpha 90.00
_cell_angle_beta 105.48
_cell_angle_gamma 90.00
loop_
_symmetry_equiv_pos_as_xyz
'x,y,z'
loop_
_atom_site_label
_atom_site_type_symbol
_atom_site_fract_x
_atom_site_fract_y
_atom_site_fract_z
Cs1 Cs 0.1528 0.1499 0.3657
Cs2 Cs 0.1528 0.3501 0.8657
Cs3 Cs 0.8472 0.6499 0.1343
Cs4 Cs 0.8472 0.8501 0.6343
Zn1 Zn 0.5000 0.0000 0.0000
Zn2 Zn 0.5000 0.5000 0.5000
H1 H 0.1692 0.5581 0.6000
H2 H 0.1692 0.9419 0.1000
H3 H 0.1826 0.0947 0.7975
H4 H 0.1826 0.4053 0.2975
H5 H 0.1890 0.6375 0.4745
H6 H 0.1890 0.8625 0.9745
H7 H 0.4088 0.1297 0.7648
H8 H 0.4088 0.3703 0.2648
H9 H 0.4225 0.5935 0.2237
H10 H 0.4225 0.9065 0.7237
H11 H 0.4903 0.6827 0.3471
H12 H 0.4903 0.8173 0.8471
H13 H 0.5097 0.1827 0.1529
H14 H 0.5097 0.3173 0.6529
H15 H 0.5775 0.0935 0.2763
H16 H 0.5775 0.4065 0.7763
H17 H 0.5912 0.6297 0.7352
H18 H 0.5912 0.8703 0.2352
H19 H 0.8110 0.1375 0.0255
H20 H 0.8110 0.3625 0.5255
H21 H 0.8174 0.5947 0.7025
H22 H 0.8174 0.9053 0.2025
H23 H 0.8308 0.0581 0.9000
H24 H 0.8308 0.4419 0.4000
Se1 Se 0.2401 0.6436 0.8978
Se2 Se 0.2401 0.8564 0.3978
Se3 Se 0.7599 0.1436 0.6022
Se4 Se 0.7599 0.3564 0.1022
O1 O 0.0909 0.5742 0.7559
O2 O 0.0909 0.9258 0.2559
O3 O 0.0961 0.7459 0.9230
O4 O 0.0961 0.7541 0.4230
O5 O 0.2118 0.5624 0.5047
O6 O 0.2118 0.9376 0.0047
O7 O 0.2956 0.5678 0.0470
O8 O 0.2956 0.9322 0.5470
O9 O 0.3368 0.1126 0.8440
O10 O 0.3368 0.3874 0.3440
O11 O 0.4650 0.6850 0.8589
O12 O 0.4650 0.8150 0.3589
O13 O 0.4863 0.1076 0.1732
O14 O 0.4863 0.3924 0.6732
O15 O 0.5137 0.6076 0.3268
O16 O 0.5137 0.8924 0.8268
O17 O 0.5350 0.1850 0.6411
O18 O 0.5350 0.3150 0.1411
O19 O 0.6632 0.6126 0.6560
O20 O 0.6632 0.8874 0.1560
O21 O 0.7044 0.0678 0.4530
O22 O 0.7044 0.4322 0.9530
O23 O 0.7882 0.0624 0.9953
O24 O 0.7882 0.4376 0.4953
O25 O 0.9039 0.2459 0.5770
O26 O 0.9039 0.2541 0.0770
O27 O 0.9091 0.0742 0.7441
O28 O 0.9091 0.4258 0.2441
```

## Properties
As for the final energy: -318.95 eV/cell.

[7]
The following is a PBEsol calculation of a geometry-optimized Cs2SiH2O4 structure, from Alexandria.

```
data_Cs2SiH2O4
_chemical_formula_sum 'Cs4 Si2 H4 O8'
_symmetry_space_group_name_H-M 'P 1'
_symmetry_Int_Tables_number 1
_cell_length_a 6.2723
_cell_length_b 6.3088
_cell_length_c 8.2974
_cell_angle_alpha 75.14
_cell_angle_beta 70.27
_cell_angle_gamma 80.09
loop_
_symmetry_equiv_pos_as_xyz
'x,y,z'
loop_
_atom_site_label
_atom_site_type_symbol
_atom_site_fract_x
_atom_site_fract_y
_atom_site_fract_z
Cs1 Cs 0.1763 0.1944 0.3198
Cs2 Cs 0.2153 0.7726 0.0432
Cs3 Cs 0.7847 0.2274 0.9568
Cs4 Cs 0.8237 0.8056 0.6802
Si1 Si 0.3770 0.3837 0.7323
Si2 Si 0.6230 0.6163 0.2677
H1 H 0.2383 0.4990 0.5175
H2 H 0.3883 0.7156 0.5697
H3 H 0.6117 0.2844 0.4303
H4 H 0.7617 0.5010 0.4825
O1 O 0.1894 0.3761 0.6272
O2 O 0.2864 0.2774 0.9376
O3 O 0.3693 0.7128 0.3754
O4 O 0.3796 0.6616 0.6991
O5 O 0.6204 0.3384 0.3009
O6 O 0.6307 0.2872 0.6246
O7 O 0.7136 0.7226 0.0624
O8 O 0.8106 0.6239 0.3728
```

## Properties
As for the final energy: -104.53 eV/cell.

[8]
The following is a PBEsol calculation of a geometry-optimized Cs2VHO4 structure, from Alexandria.

```
data_Cs2VHO4
_chemical_formula_sum 'Cs4 V2 H2 O8'
_symmetry_space_group_name_H-M 'P 1'
_symmetry_Int_Tables_number 1
_cell_length_a 7.0673
_cell_length_b 7.0673
_cell_length_c 8.5890
_cell_angle_alpha 90.00
_cell_angle_beta 90.00
_cell_angle_gamma 135.36
loop_
_symmetry_equiv_pos_as_xyz
'x,y,z'
loop_
_atom_site_label
_atom_site_type_symbol
_atom_site_fract_x
_atom_site_fract_y
_atom_site_fract_z
Cs1 Cs 0.0539 0.9461 0.5000
Cs2 Cs 0.3710 0.6290 0.6741
Cs3 Cs 0.6290 0.3710 0.1741
Cs4 Cs 0.9461 0.0539 0.0000
V1 V 0.3286 0.6714 0.2337
V2 V 0.6714 0.3286 0.7337
H1 H 0.1336 0.8664 0.8251
H2 H 0.8664 0.1336 0.3251
O1 O 0.1001 0.3527 0.3241
O2 O 0.2000 0.8000 0.2329
O3 O 0.3527 0.1001 0.8241
O4 O 0.3727 0.6273 0.0497
O5 O 0.6273 0.3727 0.5497
O6 O 0.6473 0.8999 0.3241
O7 O 0.8000 0.2000 0.7329
O8 O 0.8999 0.6473 0.8241
```

## Properties
As for the final energy: -103.67 eV/cell.

[9]
The following is a PBEsol calculation of a geometry-optimized CsHOs3 structure, from Alexandria.

```
data_CsHOs3
_chemical_formula_sum 'Cs1 H1 Os3'
_symmetry_space_group_name_H-M 'P 1'
_symmetry_Int_Tables_number 1
_cell_length_a 4.9475
_cell_length_b 4.9475
_cell_length_c 4.9475
_cell_angle_alpha 90.00
_cell_angle_beta 90.00
_cell_angle_gamma 90.00
loop_
_symmetry_equiv_pos_as_xyz
'x,y,z'
loop_
_atom_site_label
_atom_site_type_symbol
_atom_site_fract_x
_atom_site_fract_y
_atom_site_fract_z
Cs1 Cs 0.0000 0.0000 0.0000
H1 H 0.5000 0.5000 0.5000
Os1 Os 0.0000 0.0000 0.5000
Os2 Os 0.0000 0.5000 0.0000
Os3 Os 0.5000 0.0000 0.0000
```

## Properties
As for the final energy: -17.37 eV/cell.

[10]
The following is a PBEsol calculation of a geometry-optimized CsPH3 structure, from Alexandria.

```
data_CsPH3
_chemical_formula_sum 'Cs1 P1 H3'
_symmetry_space_group_name_H-M 'P 1'
_symmetry_Int_Tables_number 1
_cell_length_a 3.9381
_cell_length_b 3.9381
_cell_length_c 3.9381
_cell_angle_alpha 90.00
_cell_angle_beta 90.00
_cell_angle_gamma 90.00
loop_
_symmetry_equiv_pos_as_xyz
'x,y,z'
loop_
_atom_site_label
_atom_site_type_symbol
_atom_site_fract_x
_atom_site_fract_y
_atom_site_fract_z
Cs1 Cs 0.0000 0.0000 0.0000
P1 P 0.5000 0.5000 0.5000
H1 H 0.0000 0.5000 0.5000
H2 H 0.5000 0.0000 0.5000
H3 H 0.5000 0.5000 0.0000
```

## Properties
As for the final energy: -15.94 eV/cell.

[11]
The following is a PBEsol calculation of a geometry-optimized CsP2H structure, from Alexandria.

```
data_CsP2H
_chemical_formula_sum 'Cs2 P4 H2'
_symmetry_space_group_name_H-M 'P 1'
_symmetry_Int_Tables_number 1
_cell_length_a 6.0353
_cell_length_b 6.0353
_cell_length_c 6.0353
_cell_angle_alpha 60.00
_cell_angle_beta 60.00
_cell_angle_gamma 60.00
loop_
_symmetry_equiv_pos_as_xyz
'x,y,z'
loop_
_atom_site_label
_atom_site_type_symbol
_atom_site_fract_x
_atom_site_fract_y
_atom_site_fract_z
Cs1 Cs 0.1250 0.1250 0.1250
Cs2 Cs 0.8750 0.8750 0.8750
P1 P 0.0000 0.5000 0.5000
P2 P 0.5000 0.0000 0.5000
P3 P 0.5000 0.5000 0.0000
P4 P 0.5000 0.5000 0.5000
H1 H 0.3750 0.3750 0.3750
H2 H 0.6250 0.6250 0.6250
```

## Properties
As for the final energy: -28.81 eV/cell.

[12]
The following is a PBEsol calculation of a geometry-optimized CsH2Pd2 structure, from Alexandria.

```
data_CsH2Pd2
_chemical_formula_sum 'Cs1 H2 Pd2'
_symmetry_space_group_name_H-M 'P 1'
_symmetry_Int_Tables_number 1
_cell_length_a 6.5159
_cell_length_b 6.5159
_cell_length_c 6.5159
_cell_angle_alpha 145.96
_cell_angle_beta 145.96
_cell_angle_gamma 48.91
loop_
_symmetry_equiv_pos_as_xyz
'x,y,z'
loop_
_atom_site_label
_atom_site_type_symbol
_atom_site_fract_x
_atom_site_fract_y
_atom_site_fract_z
Cs1 Cs 0.0000 0.0000 0.0000
H1 H 0.2500 0.7500 0.5000
H2 H 0.7500 0.2500 0.5000
Pd1 Pd 0.2607 0.2607 0.0000
Pd2 Pd 0.7393 0.7393 0.0000
```

## Properties
As for the final energy: -20.42 eV/cell.